Record 1
Compound: ZnSi2Mo
Source: Alexandria via LeMat-Bulk
Functional: PBE
Structure: optimized geometry

Structure (POSCAR):
```
ZnSi2Mo
1.0
-4.329 -1.509 -2.428
4.205 -1.036 -2.856
0.136 -2.821 -0.405
Si Mo Zn
2 1 1
Direct
0.500 0.500 0.000
0.000 0.000 0.000
0.000 0.500 0.500
0.500 0.000 0.500
```

Calculated values
- space-group type = C2/m (12)
- E_form (uncorrected) (eV per atom) = 0.19
- E_tot (eV/cell) = -22.20

Record 2
Compound: KCaHg2
Source: Alexandria via LeMat-Bulk
Functional: PBE
Structure: optimized geometry

Structure (POSCAR):
```
KCaHg2
1.0
-5.820 -7.476 4.143
-2.035 -9.205 4.248
-3.220 -6.605 7.275
Hg Ca K
2 1 1
Direct
0.993 0.993 0.993
0.264 0.264 0.264
0.728 0.728 0.728
0.515 0.515 0.515
```

Calculated values
- space-group type = R3m (160)
- energy above the most stable polymorph in this dataset (meV/atom) = 214
- E_tot (eV/cell) = -4.21
- energy relative to the elements (meV per atom) = -128

Record 3
Compound: K3Pu3PbS8
Source: Alexandria via LeMat-Bulk
Functional: PBE
Structure: optimized geometry

Structure (POSCAR):
```
K3Pu3PbS8
1.0
-6.089 -5.296 1.520
7.735 -2.696 -0.593
-2.223 4.584 7.067
S Pb K Pu
8 1 3 3
Direct
0.755 0.510 0.302
0.733 0.466 0.699
0.755 0.047 0.302
0.245 0.490 0.698
0.708 0.953 0.698
0.292 0.047 0.302
0.245 0.953 0.698
0.267 0.534 0.301
0.000 0.000 0.500
0.500 0.500 0.000
0.000 0.000 0.000
0.000 0.500 0.000
0.000 0.500 0.500
0.500 0.500 0.500
0.500 0.000 0.500
```

Calculated values
- space-group type = R-3m (166)
- E_form (uncorrected) (eV per atom) = -1.36
- E_tot (eV/cell) = -103.42

Record 4
Compound: SmTh2NbN4
Source: Alexandria via LeMat-Bulk
Functional: PBE
Structure: optimized geometry

Structure (POSCAR):
```
SmTh2NbN4
1.0
-2.745 1.892 -1.183
1.588 -3.960 -4.730
-7.675 -8.365 4.426
N Sm Th Nb
8 2 4 2
Direct
0.000 0.000 0.000
0.270 0.539 0.369
0.270 0.539 0.131
0.730 0.461 0.869
0.547 0.093 0.250
0.730 0.461 0.631
0.000 0.000 0.500
0.453 0.907 0.750
0.127 0.253 0.750
0.873 0.747 0.250
0.633 0.265 0.042
0.367 0.735 0.958
0.633 0.265 0.458
0.367 0.735 0.542
0.859 0.717 0.750
0.141 0.283 0.250
```

Calculated values
- space-group type = Cmcm (63)
- E_form (uncorrected) (eV per atom) = -1.13
- E_tot (eV/cell) = -143.89

Record 5
Compound: Mg2Ti2MnSe6
Source: Alexandria via LeMat-Bulk
Functional: PBE
Structure: optimized geometry

Structure (POSCAR):
```
Mg2Ti2MnSe6
1.0
-2.304 -0.588 6.079
5.575 -2.945 -1.691
2.225 6.316 0.340
Se Ti Mn Mg
6 2 1 2
Direct
0.253 0.253 0.255
0.066 0.413 0.734
0.413 0.066 0.734
0.934 0.587 0.266
0.587 0.934 0.266
0.747 0.747 0.745
0.654 0.346 0.500
0.346 0.654 0.500
0.000 0.000 0.500
0.829 0.171 0.000
0.171 0.829 0.000
```

Calculated values
- space-group type = C2/m (12)
- E_form (uncorrected) (eV per atom) = -0.97
- E_tot (eV/cell) = -59.76

Record 6
Compound: AcSmAg2Se4
Source: Alexandria via LeMat-Bulk
Functional: PBE
Structure: optimized geometry

Structure (POSCAR):
```
AcSmAg2Se4
1.0
-5.059 5.052 -0.427
-5.319 -0.583 -3.950
-5.705 -0.349 3.400
Se Ag Sm Ac
4 2 1 1
Direct
0.543 0.453 0.916
0.457 0.084 0.547
0.088 0.916 0.453
0.912 0.547 0.084
0.168 0.332 0.332
0.832 0.668 0.668
0.500 0.500 0.500
0.000 0.000 0.000
```

Calculated values
- space-group type = I222 (23)
- E_form (uncorrected) (eV per atom) = -1.13
- E_tot (eV/cell) = -37.54

What theoretical density values result from the calculations? In sequence: 6.067 5.286 5.109 9.612 4.757 6.773 g/cm³.